No. 1
VASP calculation (PBE) on a geometry-optimized Na5Cd12Sn2 structure.

Cell and atoms, written as extended XYZ:
```
19
Lattice="7.5891 -4.1809 0.0000 7.5891 4.1809 0.0000 -0.1281 0.0000 7.5799" Properties=species:S:1:pos:R:3 pbc="T T T"
Na 0.0000 0.0000 0.0000
Na 3.6372 0.0000 0.6160
Na 4.5071 0.0000 3.7949
Na 10.5429 0.0000 3.7851
Na 11.4128 0.0000 6.9639
Cd 5.1710 2.6432 1.8149
Cd 1.4022 0.0000 3.0780
Cd 5.5183 1.6628 6.3221
Cd 9.8790 2.6432 5.7651
Cd 9.5317 1.6628 1.2578
Cd 6.7277 0.0000 1.2164
Cd 8.3223 0.0000 6.3636
Cd 5.5183 -1.6628 6.3221
Cd 5.1710 -2.6432 1.8149
Cd 9.5317 -1.6628 1.2578
Cd 13.6479 0.0000 4.5020
Cd 9.8790 -2.6432 5.7651
Sn 7.5250 1.6054 3.7900
Sn 7.5250 -1.6054 3.7900
```

**Space-group type**: C2/m (12)
**DFT formation energy**: -0.79 eV per formula unit

***

No. 2
VASP calculation (PBE) on a geometry-optimized K4SrY structure.

Cell and atoms, written as extended XYZ:
```
6
Lattice="0.0000 5.4946 5.4946 5.4946 0.0000 5.4946 5.4946 5.4946 0.0000" Properties=species:S:1:pos:R:3 pbc="T T T"
K 4.1285 4.1285 4.1285
K 6.8607 6.8607 4.1285
K 6.8607 4.1285 6.8607
K 4.1285 6.8607 6.8607
Sr 0.0000 0.0000 0.0000
Y 8.2419 8.2419 8.2419
```

**Space-group type**: F-43m (216)
**DFT formation energy**: 2.60 eV per formula unit

***

No. 3
VASP calculation (PBE) on a geometry-optimized CsInHg3Pb structure.

Cell and atoms, written as extended XYZ:
```
12
Lattice="3.9124 -7.0923 0.0000 3.9124 7.0923 0.0000 0.0000 0.0000 8.4742" Properties=species:S:1:pos:R:3 pbc="T T T"
Cs 3.9124 4.0756 6.3557
Cs 3.9124 -4.0756 2.1186
In 3.9124 0.1952 6.3557
In 3.9124 -0.1952 2.1186
Hg 1.8030 0.0000 0.0000
Hg 1.8030 0.0000 4.2371
Hg 3.9124 2.7195 2.1186
Hg 3.9124 -2.7195 6.3557
Hg 6.0217 0.0000 0.0000
Hg 6.0217 0.0000 4.2371
Pb 3.9124 5.7376 2.1186
Pb 3.9124 -5.7376 6.3557
```

**Space-group type**: Cmcm (63)
**DFT formation energy**: -0.43 eV per formula unit

***

No. 4
VASP calculation (PBE) on a geometry-optimized CrFeRh14 structure.

Cell and atoms, written as extended XYZ:
```
16
Lattice="5.4001 0.0000 0.0000 0.0000 5.4001 0.0000 0.0000 0.0000 7.6571" Properties=species:S:1:pos:R:3 pbc="T T T"
Cr 0.0000 0.0000 0.0000
Fe 2.7000 2.7000 0.0000
Rh 0.0000 0.0000 3.8285
Rh 0.0000 2.7000 0.0000
Rh 0.0000 2.7000 3.8285
Rh 1.3456 1.3456 1.8815
Rh 1.3456 1.3456 5.7756
Rh 1.3456 4.0544 1.8815
Rh 1.3456 4.0544 5.7756
Rh 2.7000 0.0000 0.0000
Rh 2.7000 0.0000 3.8285
Rh 2.7000 2.7000 3.8285
Rh 4.0544 1.3456 1.8815
Rh 4.0544 1.3456 5.7756
Rh 4.0544 4.0544 1.8815
Rh 4.0544 4.0544 5.7756
```

**Space-group type**: P4/mmm (123)
**DFT formation energy**: -0.45 eV per formula unit

***

No. 5
VASP calculation (PBE) on a geometry-optimized Nd8ZnOs2 structure.

Cell and atoms, written as extended XYZ:
```
11
Lattice="4.4632 -6.6343 0.0000 4.4632 6.6343 0.0000 -1.4033 0.0000 5.5909" Properties=species:S:1:pos:R:3 pbc="T T T"
Nd 0.0000 0.0000 0.0000
Nd 0.7151 1.7359 3.4422
Nd 3.0504 3.2337 1.1216
Nd 0.7151 -1.7359 3.4422
Nd 4.0008 1.7261 4.3872
Nd 3.0504 -3.2337 1.1216
Nd 4.0008 -1.7261 4.3872
Nd 6.1880 0.0000 2.2713
Zn 3.1217 0.0000 1.0691
Os 2.3682 4.1135 3.9354
Os 2.3682 -4.1135 3.9354
```

**Space-group type**: Cm (8)
**DFT formation energy**: -0.17 eV per formula unit

***

No. 6
VASP calculation (PBE) on a geometry-optimized Cs2CaSbI6 structure.

Cell and atoms, written as extended XYZ:
```
20
Lattice="9.7806 0.0000 0.0000 0.0000 12.1337 0.0000 0.0000 0.0000 8.9636" Properties=species:S:1:pos:R:3 pbc="T T T"
Cs 2.4451 0.1442 1.2637
Cs 2.4451 5.9226 1.2637
Cs 7.3354 6.2111 7.7000
Cs 7.3354 11.9895 7.7000
Ca 2.4451 3.0334 6.0708
Ca 7.3354 9.1003 2.8929
Sb 2.4451 9.1003 5.3997
Sb 7.3354 3.0334 3.5639
I 0.1223 3.0334 8.0839
I 0.5784 3.0334 3.4767
I 2.4451 6.2084 6.1825
I 2.4451 11.9921 6.1825
I 4.3119 3.0334 3.4767
I 4.7680 3.0334 8.0839
I 5.0125 9.1003 0.8797
I 5.4687 9.1003 5.4870
I 7.3354 0.1416 2.7811
I 7.3354 5.9253 2.7811
I 9.2022 9.1003 5.4870
I 9.6583 9.1003 0.8797
```

**Space-group type**: Pmmn (59)
**Relative energy among the computed polymorphs**: 0 meV per atom
**Uncorrected formation energy**: -1.090 eV/atom

***

No. 7
VASP calculation (PBE) on a geometry-optimized ScRuRh structure.

Cell and atoms, written as extended XYZ:
```
3
Lattice="-1.4274 1.4274 5.9170 1.4274 -1.4274 5.9170 1.4274 1.4274 -5.9170" Properties=species:S:1:pos:R:3 pbc="T T T"
Sc 0.0000 0.0000 0.0000
Ru 0.0000 0.0000 8.0114
Rh 0.0000 0.0000 3.8060
```

**Space-group type**: I4mm (107)
**Relative energy among the computed polymorphs**: 114 meV per atom
**DFT formation energy**: -0.77 eV per formula unit

***

No. 8
VASP calculation (PBE) on a geometry-optimized ZnAgPb2 structure.

Cell and atoms, written as extended XYZ:
```
4
Lattice="-2.2609 2.2609 4.7829 2.2609 -2.2609 4.7829 2.2609 2.2609 -4.7829" Properties=species:S:1:pos:R:3 pbc="T T T"
Zn 0.0000 0.0000 0.0000
Ag 2.2609 0.0000 2.3915
Pb 0.0000 0.0000 4.7829
Pb 0.0000 2.2609 2.3915
```

**Space-group type**: I-4m2 (119)
**DFT formation energy**: 0.70 eV per formula unit

***

No. 9
VASP calculation (PBE) on a geometry-optimized HoScC2 structure.

Cell and atoms, written as extended XYZ:
```
4
Lattice="1.7287 0.9981 5.5911 -1.7287 0.9981 5.5911 0.0000 -1.9961 5.5911" Properties=species:S:1:pos:R:3 pbc="T T T"
Ho 0.0000 0.0000 0.0000
Sc 0.0000 0.0000 8.3866
C 0.0000 0.0000 4.0989
C 0.0000 0.0000 12.6743
```

**Space-group type**: R-3m (166)
**DFT formation energy**: -0.15 eV per formula unit

***

No. 10
VASP calculation (PBE) on a geometry-optimized SrTcW2 structure.

Cell and atoms, written as extended XYZ:
```
4
Lattice="0.0000 3.3168 3.3168 3.3168 0.0000 3.3168 3.3168 3.3168 0.0000" Properties=species:S:1:pos:R:3 pbc="T T T"
Sr 0.0000 0.0000 0.0000
Tc 4.9752 4.9752 4.9752
W 1.6584 1.6584 1.6584
W 3.3168 3.3168 3.3168
```

**Space-group type**: F-43m (216)
**Relative energy among the computed polymorphs**: 391 meV per atom
**DFT formation energy**: 4.28 eV per formula unit

***

No. 11
VASP calculation (PBE) on a geometry-optimized YSn3N structure.

Cell and atoms, written as extended XYZ:
```
5
Lattice="4.8155 0.0000 0.0000 0.0000 4.8155 0.0000 0.0000 0.0000 4.8155" Properties=species:S:1:pos:R:3 pbc="T T T"
Y 0.0000 0.0000 0.0000
Sn 0.0000 2.4077 2.4077
Sn 2.4077 0.0000 2.4077
Sn 2.4077 2.4077 0.0000
N 2.4077 2.4077 2.4077
```

**Space-group type**: Pm-3m (221)
**Relative energy among the computed polymorphs**: 0 meV per atom
**Uncorrected formation energy**: 0.151 eV/atom

***

No. 12
VASP calculation (PBE) on a geometry-optimized CaTbAlHg structure.

Cell and atoms, written as extended XYZ:
```
4
Lattice="0.0000 3.7205 3.7205 3.7205 0.0000 3.7205 3.7205 3.7205 0.0000" Properties=species:S:1:pos:R:3 pbc="T T T"
Ca 0.0000 0.0000 0.0000
Tb 3.7205 3.7205 3.7205
Al 5.5808 5.5808 5.5808
Hg 1.8603 1.8603 1.8603
```

**Space-group type**: F-43m (216)
**Relative energy among the computed polymorphs**: 20 meV per atom
**DFT formation energy**: -1.57 eV per formula unit

***

No. 13
VASP calculation (PBE) on a geometry-optimized Mn2CoSi structure.

Cell and atoms, written as extended XYZ:
```
4
Lattice="3.5634 0.0000 0.0000 0.0000 3.5634 0.0000 0.0000 0.0000 3.6063" Properties=species:S:1:pos:R:3 pbc="T T T"
Mn 0.0000 1.7817 0.0000
Mn 1.7817 0.0000 0.0000
Co 0.0000 0.0000 1.8032
Si 1.7817 1.7817 1.8032
```

**Space-group type**: P4/mmm (123)
**Uncorrected formation energy**: -0.257 eV/atom

***

No. 14
VASP calculation (PBE) on a geometry-optimized Y3Ho5P8 structure.

Cell and atoms, written as extended XYZ:
```
16
Lattice="3.9964 2.3073 6.5266 -3.9964 2.3073 6.5266 0.0000 -4.6147 6.5266" Properties=species:S:1:pos:R:3 pbc="T T T"
Y -1.9982 -1.1537 6.5266
Y -1.9982 1.1537 13.0531
Y 0.0000 2.3073 6.5266
Ho 0.0000 0.0000 0.0000
Ho -3.9964 0.0000 9.7899
Ho -1.9982 1.1537 3.2633
Ho 1.9982 1.1537 3.2633
Ho 0.0000 0.0000 9.7899
P 0.0000 0.0000 4.8822
P -2.0030 -1.1565 11.4136
P 0.0000 -2.3129 8.1661
P -2.0030 1.1565 8.1661
P 2.0030 -1.1565 11.4136
P 0.0000 2.3129 11.4136
P 2.0030 1.1565 8.1661
P 0.0000 0.0000 14.6975
```

**Space-group type**: R-3m (166)
**DFT formation energy**: -25.92 eV per formula unit

***

No. 15
VASP calculation (PBE) on a geometry-optimized Li2ScTe structure.

Cell and atoms, written as extended XYZ:
```
4
Lattice="-2.0868 2.0868 4.5825 2.0868 -2.0868 4.5825 2.0868 2.0868 -4.5825" Properties=species:S:1:pos:R:3 pbc="T T T"
Li 0.0000 0.0000 0.0000
Li 0.0000 2.0868 2.2913
Sc 2.0868 0.0000 2.2913
Te 0.0000 0.0000 4.5825
```

**Space-group type**: I-4m2 (119)
**Uncorrected formation energy**: -0.434 eV/atom

***

No. 16
VASP calculation (PBE) on a geometry-optimized Mg2IrCl structure.

Cell and atoms, written as extended XYZ:
```
4
Lattice="-1.8458 1.8458 5.4914 1.8458 -1.8458 5.4914 1.8458 1.8458 -5.4914" Properties=species:S:1:pos:R:3 pbc="T T T"
Mg 0.0000 0.0000 0.0000
Mg 0.0000 1.8458 2.7457
Ir 0.0000 0.0000 5.4914
Cl 1.8458 0.0000 2.7457
```

**Space-group type**: I-4m2 (119)
**Relative energy among the computed polymorphs**: 636 meV per atom
**Uncorrected formation energy**: -0.105 eV/atom

***

No. 17
VASP calculation (PBE) on a geometry-optimized Li2Sn2Pd structure.

Cell and atoms, written as extended XYZ:
```
5
Lattice="4.5115 0.0000 0.0000 2.2439 4.0563 0.0000 2.1294 1.0043 5.0306" Properties=species:S:1:pos:R:3 pbc="T T T"
Li 2.1918 1.1837 2.1450
Li 6.6930 3.8768 2.8857
Sn 4.3955 2.4083 4.0336
Sn 4.4894 2.6522 0.9970
Pd 0.0000 0.0000 0.0000
```

**Space-group type**: P-1 (2)
**DFT formation energy**: -2.22 eV per formula unit

***

No. 18
VASP calculation (PBE) on a geometry-optimized Nd3CoBrCl structure.

Cell and atoms, written as extended XYZ:
```
12
Lattice="9.4014 0.0000 0.0000 0.0000 3.9801 0.0000 -0.4571 0.0000 9.7054" Properties=species:S:1:pos:R:3 pbc="T T T"
Nd 0.6203 0.9950 3.4383
Nd 0.9619 0.9950 8.8702
Nd 2.7705 2.9851 6.1985
Nd 6.1737 0.9950 3.5069
Nd 7.9823 2.9851 0.8352
Nd 8.3240 2.9851 6.2670
Co 0.8838 0.9950 6.2458
Co 8.0605 2.9851 3.4596
Br 3.5224 2.9851 3.2697
Br 5.4219 0.9950 6.4357
Cl 3.0140 2.9851 9.0224
Cl 5.9303 0.9950 0.6830
```

**Space-group type**: P2_1/m (11)
**Uncorrected formation energy**: -0.926 eV/atom

***

No. 19
VASP calculation (PBE) on a geometry-optimized FeCoCl2 structure.

Cell and atoms, written as extended XYZ:
```
4
Lattice="3.8135 0.0000 0.0000 0.0000 3.2158 0.0000 -0.2042 0.0000 6.7788" Properties=species:S:1:pos:R:3 pbc="T T T"
Fe 0.0000 0.0000 0.0000
Co 1.8246 1.6079 0.4463
Cl 0.6046 1.6079 5.2070
Cl 2.5587 0.0000 1.9506
```

**Space-group type**: Pm (6)
**Uncorrected formation energy**: -0.183 eV/atom

***

No. 20
VASP calculation (PBE) on a geometry-optimized OsN4 structure.

Cell and atoms, written as extended XYZ:
```
5
Lattice="3.8701 0.0000 0.0000 0.0000 3.8701 0.0000 0.0000 0.0000 3.8701" Properties=species:S:1:pos:R:3 pbc="T T T"
Os 0.0000 0.0000 0.0000
N 0.0000 0.0000 1.9350
N 0.0000 1.9350 0.0000
N 1.9350 0.0000 0.0000
N 1.9350 1.9350 1.9350
```

**Space-group type**: Pm-3m (221)
**Uncorrected formation energy**: 2.198 eV/atom